Entry 1:
DFT (PBE) results for a relaxed structure of Nb2CuCl8.

## Properties
crystal system = monoclinic
formation energy (no corrections) = -1.0298 eV per atom
total moment = 1.55 μB/f.u.

```
data_Nb2CuCl8
_space_group_name_H-M_alt 'C 1 2/m 1'
_space_group_IT_number 12
_space_group_name_Hall '-C 2y'
_cell_length_a 13.717
_cell_length_b 6.643
_cell_length_c 6.921
_cell_angle_alpha 90.00
_cell_angle_beta 110.59
_cell_angle_gamma 90.00
loop_
_atom_site_label
_atom_site_type_symbol
_atom_site_fract_x
_atom_site_fract_y
_atom_site_fract_z
Nb1 Nb 0.247 0.000 0.006
Cu1 Cu 0.000 0.500 0.000
Cl1 Cl 0.129 0.250 0.762
Cl2 Cl 0.142 0.000 0.205
Cl3 Cl 0.151 0.500 0.233
```

=====

Entry 2:
DFT (PBE) results for a relaxed structure of NbCu2Cl8.

## Properties
crystal system = monoclinic
formation energy (no corrections) = -0.8088 eV per atom
total moment = 1.02 μB/f.u.

```
data_NbCu2Cl8
_space_group_name_H-M_alt 'C 1 2/m 1'
_space_group_IT_number 12
_space_group_name_Hall '-C 2y'
_cell_length_a 12.639
_cell_length_b 7.676
_cell_length_c 6.992
_cell_angle_alpha 90.00
_cell_angle_beta 91.53
_cell_angle_gamma 90.00
loop_
_atom_site_label
_atom_site_type_symbol
_atom_site_fract_x
_atom_site_fract_y
_atom_site_fract_z
Nb1 Nb 0.000 0.000 0.000
Cu1 Cu 0.203 0.000 0.234
Cl1 Cl 0.107 0.233 0.147
Cl2 Cl 0.108 0.000 0.735
Cl3 Cl 0.146 0.500 0.631
```

=====

Entry 3:
DFT (PBE) results for a relaxed structure of Nb3CuCl.

## Properties
crystal system = cubic
formation energy (no corrections) = 0.8141 eV per atom
polymorph energy (0 for the lowest one) = 0.00 eV per formula unit
total moment = 0.00 μB/f.u.

```
data_Nb3CuCl
_space_group_name_H-M_alt 'P m -3 m'
_space_group_IT_number 221
_space_group_name_Hall '-P 4 2 3'
_cell_length_a 4.537
_cell_length_b 4.537
_cell_length_c 4.537
_cell_angle_alpha 90.00
_cell_angle_beta 90.00
_cell_angle_gamma 90.00
loop_
_atom_site_label
_atom_site_type_symbol
_atom_site_fract_x
_atom_site_fract_y
_atom_site_fract_z
Nb1 Nb 0.000 0.000 0.500
Cu1 Cu 0.500 0.500 0.500
Cl1 Cl 0.000 0.000 0.000
```

=====

Entry 4:
DFT (PBE) results for a relaxed structure of NbCuCl6.

## Properties
crystal system = monoclinic
formation energy (no corrections) = -0.9685 eV per atom
polymorph energy (0 for the lowest one) = 0.11 eV per formula unit
total moment = 0.54 μB/f.u.

```
data_NbCuCl6
_space_group_name_H-M_alt 'C 1 2/m 1'
_space_group_IT_number 12
_space_group_name_Hall '-C 2y'
_cell_length_a 6.587
_cell_length_b 11.801
_cell_length_c 6.605
_cell_angle_alpha 90.00
_cell_angle_beta 117.24
_cell_angle_gamma 90.00
loop_
_atom_site_label
_atom_site_type_symbol
_atom_site_fract_x
_atom_site_fract_y
_atom_site_fract_z
Nb1 Nb 0.000 0.000 0.000
Cu1 Cu 0.000 0.500 0.500
Cl1 Cl 0.208 0.000 0.791
Cl2 Cl 0.247 0.356 0.748
```

=====

Entry 5:
DFT (PBE) results for a relaxed structure of NbCuCl6.

## Properties
crystal system = triclinic
formation energy (no corrections) = -0.9828 eV per atom
polymorph energy (0 for the lowest one) = 0.00 eV per formula unit
total moment = 0.05 μB/f.u.

```
data_NbCuCl6
_space_group_name_H-M_alt 'P -1'
_space_group_IT_number 2
_space_group_name_Hall '-P 1'
_cell_length_a 6.237
_cell_length_b 6.251
_cell_length_c 6.656
_cell_angle_alpha 90.48
_cell_angle_beta 117.59
_cell_angle_gamma 119.71
loop_
_atom_site_label
_atom_site_type_symbol
_atom_site_fract_x
_atom_site_fract_y
_atom_site_fract_z
Nb1 Nb 0.000 0.000 0.000
Cu1 Cu 0.000 0.500 0.500
Cl1 Cl 0.141 0.240 0.755
Cl2 Cl 0.144 0.386 0.248
Cl3 Cl 0.485 0.100 0.245
```

=====

Entry 6:
DFT (PBE) results for a relaxed structure of NdNb2CuClO7.

## Properties
crystal system = tetragonal
formation energy (no corrections) = -2.2962 eV per atom
total moment = 0.50 μB/f.u.

```
data_NdNb2CuClO7
_space_group_name_H-M_alt 'P 4/m m m'
_space_group_IT_number 123
_space_group_name_Hall '-P 4 2'
_cell_length_a 3.907
_cell_length_b 3.907
_cell_length_c 11.790
_cell_angle_alpha 90.00
_cell_angle_beta 90.00
_cell_angle_gamma 90.00
loop_
_atom_site_label
_atom_site_type_symbol
_atom_site_fract_x
_atom_site_fract_y
_atom_site_fract_z
Nd1 Nd 0.000 0.000 0.000
Nb1 Nb 0.500 0.500 0.191
Cu1 Cu 0.500 0.500 0.500
Cl1 Cl 0.000 0.000 0.500
O1 O 0.000 0.500 0.151
O2 O 0.500 0.500 0.000
O3 O 0.500 0.500 0.344
```